1.
VASP calculation (PBE) on RbBa2Ga2 after structural relaxation.

Values from the calculation:
The space-group type is P4/mbm. The value obtained for the theoretical density is 3.95 g cm⁻³. The excess energy over the best structure of this formula in the dataset comes out at 0 meV per atom. The energy of formation from the pure elements is -12.81 kJ per mole of atoms. Its density of states at the Fermi level is 1.17 states/eV/atom. The calculation puts the total energy at -0.08475 hartree per atom.

Lattice parameters (Å, degrees): 9.3137 9.3137 4.8463 90.00 90.00 90.00
Element x y z (fractional)
Rb  0.0000  0.0000  0.0000
Rb  0.5000  0.5000  0.0000
Ba  0.1727  0.3273  0.5000
Ba  0.3273  0.8273  0.5000
Ba  0.6727  0.1727  0.5000
Ba  0.8273  0.6727  0.5000
Ga  0.0981  0.5981  0.0000
Ga  0.4019  0.0981  0.0000
Ga  0.5981  0.9019  0.0000
Ga  0.9019  0.4019  0.0000

2.
VASP calculation (PBE) on CrPt2Cl after structural relaxation.

Values from the calculation:
As for the formation energy from raw total energies: 0.117 eV/atom. The space-group type is R-3m. The value obtained for the theoretical density is 12.24 g cm⁻³. The excess energy over the best structure of this formula in the dataset comes out at 137 meV per atom. Its density of states at the Fermi level is 1.18 states/eV/atom. The calculation puts the total energy at -0.21206 hartree per atom.

Lattice parameters (Å, degrees): 8.6015 8.6015 8.6015 19.95 19.95 19.95
Element x y z (fractional)
Cr  0.0000  0.0000  0.0000
Pt  0.2574  0.2574  0.2574
Pt  0.7426  0.7426  0.7426
Cl  0.5000  0.5000  0.5000

3.
VASP calculation (PBE) on CoReOs2 after structural relaxation.

Values from the calculation:
The space-group type is I-4m2. The value obtained for the theoretical density is 19.09 g cm⁻³. The excess energy over the best structure of this formula in the dataset comes out at 11 meV per atom. The energy of formation from the pure elements is 9.66 kJ per mole of atoms. Its density of states at the Fermi level is 0.91 states/eV/atom. The calculation puts the total energy at -0.38231 hartree per atom.

Lattice parameters (Å, degrees): 4.6372 4.6372 4.6372 131.72 131.72 70.68
Element x y z (fractional)
Co  0.0000  0.0000  0.0000
Re  0.7500  0.2500  0.5000
Os  0.2500  0.7500  0.5000
Os  0.5000  0.5000  0.0000

4.
VASP calculation (PBE) on Li2YMn after structural relaxation.

Values from the calculation:
The space-group type is P2/m. The value obtained for the theoretical density is 3.15 g cm⁻³. The excess energy over the best structure of this formula in the dataset comes out at 102 meV per atom. The energy of formation from the pure elements is 29.51 kJ per mole of atoms. Its density of states at the Fermi level is 0.89 states/eV/atom. The calculation puts the total energy at -0.16756 hartree per atom.

Lattice parameters (Å, degrees): 3.1338 5.1442 5.1820 90.00 95.30 90.00
Element x y z (fractional)
Li  0.2066  0.0000  0.2820
Li  0.7934  0.0000  0.7180
Y  0.5000  0.5000  0.0000
Mn  0.0000  0.5000  0.5000

Among the records above, which one has the lowest excess energy over the best structure of this formula in the dataset? RbBa2Ga2

Look up the theoretical density of the third one. 19.09 g cm⁻³